i | Entry from Alexandria via LeMat-Bulk: crystalline PrPu2Mn at its relaxed geometry (GGA-PBE).

DOS(E_F), states/eV per cell: 11.20
Total magnetic moment, μB per formula unit: 8.71
SG: P4/mmm, No. 123

Cell: 3.3936 3.3936 8.7124 Å, 90.00 90.00 90.00°
Last column: nearest neighbours and their distance in Å.
Fractional positions:
Pr 0.0000 0.0000 0.0000  4 Pr 3.39, 8 Pu 3.63
Pu 0.5000 0.5000 0.3128  4 Mn 2.90
Pu 0.5000 0.5000 0.6872  4 Mn 2.90
Mn 0.0000 0.0000 0.5000  8 Pu 2.90

---

ii | Entry from Alexandria via LeMat-Bulk: crystalline PrPu2Mn at its relaxed geometry (GGA-PBE).

DOS(E_F), states/eV per cell: 37.71
Total magnetic moment, μB per formula unit: 9.35
SG: R-3m, No. 166

Cell: 3.4466 3.4466 30.7082 Å, 90.00 90.00 120.00°
Last column: nearest neighbours and their distance in Å.
Fractional positions:
Pr 0.0000 0.0000 0.0000  2 Pu 3.29, 6 Pr 3.45
Pr 0.3333 0.6667 0.6667  2 Pu 3.29, 6 Pr 3.45
Pr 0.6667 0.3333 0.3333  2 Pu 3.29, 6 Pr 3.45
Pu 0.0000 0.0000 0.1071  3 Mn 2.70
Pu 0.0000 0.0000 0.8929  3 Mn 2.70
Pu 0.3333 0.6667 0.5596  3 Mn 2.70
Pu 0.3333 0.6667 0.7738  3 Mn 2.70
Pu 0.6667 0.3333 0.2262  3 Mn 2.70
Pu 0.6667 0.3333 0.4404  3 Mn 2.70
Mn 0.0000 0.0000 0.5000  6 Pu 2.70
Mn 0.3333 0.6667 0.1667  6 Pu 2.70
Mn 0.6667 0.3333 0.8333  6 Pu 2.70

---

It is i that is most stable; the runner-up trails by 223 meV/atom.

---

i | Entry from Alexandria via LeMat-Bulk: crystalline Tb2PrMn at its relaxed geometry (GGA-PBE).

DOS(E_F), states/eV per cell: 12.05
Total magnetic moment, μB per formula unit: 3.01
SG: R-3m, No. 166

Cell: 3.4384 3.4384 33.6482 Å, 90.00 90.00 120.00°
Last column: nearest neighbours and their distance in Å.
Fractional positions:
Tb 0.0000 0.0000 0.0800  1 Mn 2.69
Tb 0.0000 0.0000 0.9200  1 Mn 2.69
Tb 0.3333 0.6667 0.5867  1 Mn 2.69
Tb 0.3333 0.6667 0.7467  1 Mn 2.69
Tb 0.6667 0.3333 0.2533  1 Mn 2.69
Tb 0.6667 0.3333 0.4133  1 Mn 2.69
Pr 0.0000 0.0000 0.5000  6 Pr 3.44, 6 Tb 3.53
Pr 0.3333 0.6667 0.1667  6 Pr 3.44, 6 Tb 3.53
Pr 0.6667 0.3333 0.8333  6 Pr 3.44, 6 Tb 3.53
Mn 0.0000 0.0000 0.0000  2 Tb 2.69
Mn 0.3333 0.6667 0.6667  2 Tb 2.69
Mn 0.6667 0.3333 0.3333  2 Tb 2.69

---

ii | Entry from Alexandria via LeMat-Bulk: crystalline Tb2PrMn at its relaxed geometry (GGA-PBE).

DOS(E_F), states/eV per cell: 5.82
Total magnetic moment, μB per formula unit: 3.05
SG: P4/mmm, No. 123

Cell: 3.5280 3.5280 9.0845 Å, 90.00 90.00 90.00°
Last column: nearest neighbours and their distance in Å.
Fractional positions:
Tb 0.0000 0.0000 0.1921  4 Mn 3.04
Tb 0.0000 0.0000 0.8079  4 Mn 3.04
Pr 0.5000 0.5000 0.5000  4 Pr 3.53, 8 Tb 3.75
Mn 0.5000 0.5000 0.0000  8 Tb 3.04

---

It is ii that is most stable; the runner-up trails by 412 meV/atom.

---

i | Entry from Alexandria via LeMat-Bulk: crystalline PrMnTe2 at its relaxed geometry (GGA-PBE).

DOS(E_F), states/eV per cell: 3.58
Total magnetic moment, μB per formula unit: 4.33
SG: Pc, No. 7

Cell: 4.5095 11.5149 6.4897 Å, 90.00 134.00 90.00°
Last column: nearest neighbours and their distance in Å.
Fractional positions:
Pr 0.0000 0.1327 0.0000  6 Te 3.10-3.26
Pr 0.0000 0.8673 0.5000  6 Te 3.10-3.26
Mn 0.2363 0.3690 0.7354  4 Te 2.72-2.79
Mn 0.2363 0.6310 0.2354  4 Te 2.72-2.79
Te 0.0026 0.1478 0.5026  1 Mn 2.77
Te 0.0026 0.8522 0.0026  1 Mn 2.77
Te 0.0520 0.4008 0.0511  3 Mn 2.72-2.79
Te 0.0520 0.5992 0.5511  3 Mn 2.72-2.79

---

ii | Entry from Alexandria via LeMat-Bulk: crystalline PrMnTe2 at its relaxed geometry (GGA-PBE).

DOS(E_F), states/eV per cell: 9.21
Total magnetic moment, μB per formula unit: 4.16
SG: R-3m, No. 166

Cell: 3.9567 3.9567 28.3159 Å, 90.00 90.00 120.00°
Last column: nearest neighbours and their distance in Å.
Fractional positions:
Pr 0.0000 0.0000 0.0000  2 Te 3.15
Pr 0.3333 0.6667 0.6667  2 Te 3.15
Pr 0.6667 0.3333 0.3333  2 Te 3.15
Mn 0.0000 0.0000 0.5000  6 Te 2.77
Mn 0.3333 0.6667 0.1667  6 Te 2.77
Mn 0.6667 0.3333 0.8333  6 Te 2.77
Te 0.0000 0.0000 0.1112  3 Mn 2.77
Te 0.0000 0.0000 0.8888  3 Mn 2.77
Te 0.3333 0.6667 0.5555  3 Mn 2.77
Te 0.3333 0.6667 0.7778  3 Mn 2.77
Te 0.6667 0.3333 0.2222  3 Mn 2.77
Te 0.6667 0.3333 0.4445  3 Mn 2.77

---

It is i that is most stable; the runner-up trails by 473 meV/atom.

---

i | Entry from Alexandria via LeMat-Bulk: crystalline PrMnTe3 at its relaxed geometry (GGA-PBE).

DOS(E_F), states/eV per cell: 3.00
Total magnetic moment, μB per formula unit: 4.00
SG: P2_1/m, No. 11

Cell: 7.8592 4.2952 8.7949 Å, 90.00 94.05 90.00°
Last column: nearest neighbours and their distance in Å.
Fractional positions:
Pr 0.1241 0.2500 0.2896  8 Te 3.19-3.36
Pr 0.8759 0.7500 0.7104  8 Te 3.19-3.36
Mn 0.3502 0.7500 0.8414  6 Te 2.69-2.87
Mn 0.6498 0.2500 0.1586  6 Te 2.69-2.87
Te 0.1283 0.2500 0.9086  2 Mn 2.85
Te 0.2376 0.7500 0.5454  1 Mn 2.69
Te 0.4072 0.7500 0.1580  3 Mn 2.79-2.87
Te 0.5928 0.2500 0.8420  3 Mn 2.79-2.87
Te 0.7624 0.2500 0.4546  1 Mn 2.69
Te 0.8717 0.7500 0.0914  2 Mn 2.85

---

ii | Entry from Alexandria via LeMat-Bulk: crystalline PrMnTe3 at its relaxed geometry (GGA-PBE).

DOS(E_F), states/eV per cell: 9.23
Total magnetic moment, μB per formula unit: 4.32
SG: Pbcm, No. 57

Cell: 12.4400 7.7151 6.2590 Å, 90.00 90.00 90.00°
Last column: nearest neighbours and their distance in Å.
Fractional positions:
Pr 0.1653 0.0525 0.2500  8 Te 3.15-3.36
Pr 0.1653 0.4475 0.7500  8 Te 3.15-3.36
Pr 0.8347 0.5525 0.2500  8 Te 3.15-3.36
Pr 0.8347 0.9475 0.7500  8 Te 3.15-3.36
Mn 0.4244 0.2500 0.0000  6 Te 2.88-2.90, 2 Mn 3.13
Mn 0.4244 0.2500 0.5000  6 Te 2.88-2.90, 2 Mn 3.13
Mn 0.5756 0.7500 0.0000  6 Te 2.88-2.90, 2 Mn 3.13
Mn 0.5756 0.7500 0.5000  6 Te 2.88-2.90, 2 Mn 3.13
Te 0.0355 0.7500 0.0000  2 Te 3.13, 4 Pr 3.24-3.32
Te 0.0355 0.7500 0.5000  2 Te 3.13, 4 Pr 3.24-3.32
Te 0.2627 0.0704 0.7500  2 Mn 2.90, 1 Pr 3.15
Te 0.2627 0.4296 0.2500  2 Mn 2.90, 1 Pr 3.15
Te 0.4188 0.5658 0.7500  4 Mn 2.88-2.90
Te 0.4188 0.9342 0.2500  4 Mn 2.88-2.90
Te 0.5812 0.0658 0.7500  4 Mn 2.88-2.90
Te 0.5812 0.4342 0.2500  4 Mn 2.88-2.90
Te 0.7373 0.5704 0.7500  2 Mn 2.90, 1 Pr 3.15
Te 0.7373 0.9296 0.2500  2 Mn 2.90, 1 Pr 3.15
Te 0.9645 0.2500 0.0000  2 Te 3.13, 4 Pr 3.24-3.32
Te 0.9645 0.2500 0.5000  2 Te 3.13, 4 Pr 3.24-3.32

---

It is i that is most stable; the runner-up trails by 26 meV/atom.

---

i | Entry from Alexandria via LeMat-Bulk: crystalline PrTh2Mn at its relaxed geometry (GGA-PBE).

DOS(E_F), states/eV per cell: 6.13
Total magnetic moment, μB per formula unit: 2.90
SG: P4/mmm, No. 123

Cell: 3.5942 3.5942 8.7404 Å, 90.00 90.00 90.00°
Last column: nearest neighbours and their distance in Å.
Fractional positions:
Pr 0.0000 0.0000 0.0000  4 Pr 3.59, 8 Th 3.65
Th 0.5000 0.5000 0.2996  4 Mn 3.09
Th 0.5000 0.5000 0.7004  4 Mn 3.09
Mn 0.0000 0.0000 0.5000  8 Th 3.09

---

ii | Entry from Alexandria via LeMat-Bulk: crystalline PrTh2Mn at its relaxed geometry (GGA-PBE).

DOS(E_F), states/eV per cell: 16.39
Total magnetic moment, μB per formula unit: 0.00
SG: R-3m, No. 166

Cell: 3.7806 3.7806 30.2913 Å, 90.00 90.00 120.00°
Last column: nearest neighbours and their distance in Å.
Fractional positions:
Pr 0.0000 0.0000 0.0000  2 Th 3.50, 6 Pr 3.78
Pr 0.3333 0.6667 0.6667  2 Th 3.50, 6 Pr 3.78
Pr 0.6667 0.3333 0.3333  2 Th 3.50, 6 Pr 3.78
Th 0.0000 0.0000 0.1155  3 Mn 2.68
Th 0.0000 0.0000 0.8845  3 Mn 2.68
Th 0.3333 0.6667 0.5512  3 Mn 2.68
Th 0.3333 0.6667 0.7821  3 Mn 2.68
Th 0.6667 0.3333 0.2179  3 Mn 2.68
Th 0.6667 0.3333 0.4488  3 Mn 2.68
Mn 0.0000 0.0000 0.5000  6 Th 2.68
Mn 0.3333 0.6667 0.1667  6 Th 2.68
Mn 0.6667 0.3333 0.8333  6 Th 2.68

---

It is i that is most stable; the runner-up trails by 218 meV/atom.

---

i | Entry from Alexandria via LeMat-Bulk: crystalline PrTm2Mn at its relaxed geometry (GGA-PBE).

DOS(E_F), states/eV per cell: 13.03
Total magnetic moment, μB per formula unit: 3.05
SG: R-3m, No. 166

Cell: 3.4028 3.4028 34.0144 Å, 90.00 90.00 120.00°
Last column: nearest neighbours and their distance in Å.
Fractional positions:
Pr 0.0000 0.0000 0.0000  6 Pr 3.40, 6 Tm 3.54
Pr 0.3333 0.6667 0.6667  6 Pr 3.40, 6 Tm 3.54
Pr 0.6667 0.3333 0.3333  6 Pr 3.40, 6 Tm 3.54
Tm 0.0000 0.0000 0.4199  1 Mn 2.72
Tm 0.0000 0.0000 0.5801  1 Mn 2.72
Tm 0.3333 0.6667 0.0866  1 Mn 2.72
Tm 0.3333 0.6667 0.2468  1 Mn 2.72
Tm 0.6667 0.3333 0.7532  1 Mn 2.72
Tm 0.6667 0.3333 0.9134  1 Mn 2.72
Mn 0.0000 0.0000 0.5000  2 Tm 2.72
Mn 0.3333 0.6667 0.1667  2 Tm 2.72
Mn 0.6667 0.3333 0.8333  2 Tm 2.72

---

ii | Entry from Alexandria via LeMat-Bulk: crystalline PrTm2Mn at its relaxed geometry (GGA-PBE).

DOS(E_F), states/eV per cell: 5.25
Total magnetic moment, μB per formula unit: 2.82
SG: P4/mmm, No. 123

Cell: 3.4553 3.4553 9.0431 Å, 90.00 90.00 90.00°
Last column: nearest neighbours and their distance in Å.
Fractional positions:
Pr 0.0000 0.0000 0.0000  4 Pr 3.46, 8 Tm 3.72
Tm 0.5000 0.5000 0.3109  4 Mn 2.98
Tm 0.5000 0.5000 0.6891  4 Mn 2.98
Mn 0.0000 0.0000 0.5000  8 Tm 2.98

---

It is ii that is most stable; the runner-up trails by 434 meV/atom.

---

i | Entry from Alexandria via LeMat-Bulk: crystalline Mn2Pt3 at its relaxed geometry (GGA-PBE).

DOS(E_F), states/eV per cell: 4.74
Total magnetic moment, μB per formula unit: 8.67
SG: P-3m1, No. 164

Cell: 4.2460 4.2460 5.2550 Å, 90.00 90.00 120.00°
Last column: nearest neighbours and their distance in Å.
Fractional positions:
Mn 0.3333 0.6667 0.3278  8 Pt 2.57-2.69
Mn 0.6667 0.3333 0.6722  8 Pt 2.57-2.69
Pt 0.0000 0.0000 0.5000  6 Mn 2.61
Pt 0.3333 0.6667 0.8392  5 Mn 2.57-2.69
Pt 0.6667 0.3333 0.1608  5 Mn 2.57-2.69

---

ii | Entry from Alexandria via LeMat-Bulk: crystalline Mn2Pt3 at its relaxed geometry (GGA-PBE).

DOS(E_F), states/eV per cell: 11.68
Total magnetic moment, μB per formula unit: 8.63
SG: R-3m, No. 166

Cell: 4.3709 4.3709 13.8084 Å, 90.00 90.00 120.00°
Last column: nearest neighbours and their distance in Å.
Fractional positions:
Mn 0.0000 0.0000 0.0991  7 Pt 2.62-2.69, 1 Mn 2.74
Mn 0.0000 0.0000 0.9009  7 Pt 2.62-2.69, 1 Mn 2.74
Mn 0.3333 0.6667 0.5676  7 Pt 2.62-2.69, 1 Mn 2.74
Mn 0.3333 0.6667 0.7657  7 Pt 2.62-2.69, 1 Mn 2.74
Mn 0.6667 0.3333 0.2343  7 Pt 2.62-2.69, 1 Mn 2.74
Mn 0.6667 0.3333 0.4324  7 Pt 2.62-2.69, 1 Mn 2.74
Pt 0.0000 0.0000 0.2886  4 Mn 2.62-2.63, 4 Pt 2.81-2.92
Pt 0.0000 0.0000 0.5000  6 Mn 2.69, 2 Pt 2.92
Pt 0.0000 0.0000 0.7114  4 Mn 2.62-2.63, 4 Pt 2.81-2.92
Pt 0.3333 0.6667 0.1667  6 Mn 2.69, 2 Pt 2.92
Pt 0.3333 0.6667 0.3781  4 Mn 2.62-2.63, 4 Pt 2.81-2.92
Pt 0.3333 0.6667 0.9552  4 Mn 2.62-2.63, 4 Pt 2.81-2.92
Pt 0.6667 0.3333 0.0448  4 Mn 2.62-2.63, 4 Pt 2.81-2.92
Pt 0.6667 0.3333 0.6219  4 Mn 2.62-2.63, 4 Pt 2.81-2.92
Pt 0.6667 0.3333 0.8333  6 Mn 2.69, 2 Pt 2.92

---

It is ii that is most stable; the runner-up trails by 103 meV/atom.

---

i | Entry from Alexandria via LeMat-Bulk: crystalline Mn4Pt5 at its relaxed geometry (GGA-PBE).

DOS(E_F), states/eV per cell: 9.46
Total magnetic moment, μB per formula unit: 1.50
SG: I4/mmm, No. 139

Cell: 5.9745 5.9745 5.9745 Å, 95.84 95.84 142.78°
Last column: nearest neighbours and their distance in Å.
Fractional positions:
Mn 0.0000 0.3582 0.3582  5 Mn 2.27-2.49
Mn 0.0000 0.6418 0.6418  5 Mn 2.27-2.49
Mn 0.3582 0.0000 0.3582  5 Mn 2.27-2.49
Mn 0.6418 0.0000 0.6418  5 Mn 2.27-2.49
Pt 0.0000 0.0000 0.0000  8 Pt 2.72, 4 Mn 2.87
Pt 0.3289 0.3289 0.6578  6 Pt 2.61-2.74, 6 Mn 2.64-2.78
Pt 0.3289 0.6711 0.0000  6 Pt 2.61-2.74, 6 Mn 2.64-2.78
Pt 0.6711 0.3289 0.0000  6 Pt 2.61-2.74, 6 Mn 2.64-2.78
Pt 0.6711 0.6711 0.3422  6 Pt 2.61-2.74, 6 Mn 2.64-2.78

---

ii | Entry from Alexandria via LeMat-Bulk: crystalline Mn4Pt5 at its relaxed geometry (GGA-PBE).

DOS(E_F), states/eV per cell: 13.12
Total magnetic moment, μB per formula unit: 17.10
SG: P6_3/mcm, No. 193

Cell: 7.6707 7.6707 5.4332 Å, 90.00 90.00 120.00°
Last column: nearest neighbours and their distance in Å.
Fractional positions:
Mn 0.0000 0.0000 0.0000  8 Mn 2.72-3.03, 6 Pt 2.73
Mn 0.0000 0.0000 0.5000  8 Mn 2.72-3.03, 6 Pt 2.73
Mn 0.0000 0.3532 0.2500  9 Pt 2.56-2.83
Mn 0.0000 0.6468 0.7500  9 Pt 2.56-2.83
Mn 0.3532 0.0000 0.2500  9 Pt 2.56-2.83
Mn 0.3532 0.3532 0.7500  9 Pt 2.56-2.83
Mn 0.6468 0.0000 0.7500  9 Pt 2.56-2.83
Mn 0.6468 0.6468 0.2500  9 Pt 2.56-2.83
Pt 0.0000 0.3089 0.7500  7 Mn 2.56-2.74
Pt 0.0000 0.6911 0.2500  7 Mn 2.56-2.74
Pt 0.3089 0.0000 0.7500  7 Mn 2.56-2.74
Pt 0.3089 0.3089 0.2500  7 Mn 2.56-2.74
Pt 0.3333 0.6667 0.0000  8 Pt 2.72-2.98, 6 Mn 2.83
Pt 0.3333 0.6667 0.5000  8 Pt 2.72-2.98, 6 Mn 2.83
Pt 0.6667 0.3333 0.0000  8 Pt 2.72-2.98, 6 Mn 2.83
Pt 0.6667 0.3333 0.5000  8 Pt 2.72-2.98, 6 Mn 2.83
Pt 0.6911 0.0000 0.2500  7 Mn 2.56-2.74
Pt 0.6911 0.6911 0.7500  7 Mn 2.56-2.74

---

It is ii that is most stable; the runner-up trails by 144 meV/atom.